No. 1
Crystalline Re2Si at its relaxed geometry. Source: Alexandria, functional PBE-GGA. Values from VASP.

Geometry as Quantum ESPRESSO input:
```
&SYSTEM
  ibrav = 0, nat = 6, ntyp = 2
/
ATOMIC_SPECIES
Si 28.09 Si.upf
Re 186.21 Re.upf
ATOMIC_POSITIONS crystal
Si 0.7500 0.2500 0.5000
Re 0.1764 0.6764 0.5000
Si 0.0000 0.0000 0.0000
Re 0.3236 0.8236 0.5000
Re 0.5736 0.5736 0.0000
Re 0.4264 0.4264 0.0000
CELL_PARAMETERS angstrom
-1.4505 1.4505 10.4639
1.4505 -1.4505 10.4639
1.4505 1.4505 -10.4639
```

Output
ΔE to the lowest computed polymorph in eV per atom: 0.5205
Formation energy (no corrections) in eV/atom: 0.264
Total energy in eV per atom: -9.84

No. 2
Crystalline Re3Si at its relaxed geometry. Source: Alexandria, functional PBE-GGA. Values from VASP.

Geometry as Quantum ESPRESSO input:
```
&SYSTEM
  ibrav = 0, nat = 4, ntyp = 2
/
ATOMIC_SPECIES
Si 28.09 Si.upf
Re 186.21 Re.upf
ATOMIC_POSITIONS crystal
Si 0.5000 0.0000 0.5000
Re 0.7296 0.7296 0.0000
Re 0.0000 0.5000 0.5000
Re 0.2704 0.2704 0.0000
CELL_PARAMETERS angstrom
5.1066 0.0008 0.0007
2.3547 4.5313 -0.0007
-3.2035 -3.1339 2.4482
```

Output
ΔE to the lowest computed polymorph in eV per atom: 0.0137
Formation energy (no corrections) in eV/atom: -0.088
Total energy in eV per atom: -10.78